Record 1
VASP calculation (PBE) on an optimized crystal structure of Tm4BiPbS2.

Summary:
* formation energy (no corrections): -915 kJ/mol of formula units
* total magnetic moment: 0.00 Bohr magnetons per cell
* total energy: -5.40 eV per atom

a = 4.0106 Å, b = 7.3204 Å, c = 7.1428 Å
α = 71.68°, β = 90.00°, γ = 90.00°
Last column: nearest neighbours and their distance in Å.
Element x y z (fractional)
1 Tm 0.5000 0.2140 0.7633  3 S 2.77-2.80, 2 Pb 3.08, 1 Bi 3.08
2 Tm 0.0000 0.2163 0.2634  3 S 2.78-2.81, 1 Pb 3.06, 2 Bi 3.07
3 Tm 0.0000 0.7837 0.7366  3 S 2.78-2.81, 1 Pb 3.06, 2 Bi 3.07
4 Tm 0.5000 0.7860 0.2367  3 S 2.77-2.80, 2 Pb 3.08, 1 Bi 3.08
5 S 0.5000 0.0000 0.5000  6 Tm 2.78-2.80
6 S 0.0000 0.0000 0.0000  6 Tm 2.77-2.81
7 Pb 0.0000 0.5000 0.5000  6 Tm 3.06-3.08
8 Bi 0.5000 0.5000 0.0000  6 Tm 3.07-3.08

***

Record 2
VASP calculation (PBE) on an optimized crystal structure of BiSbPb3.

Summary:
* formation energy (no corrections): 25 kJ/mol of formula units
* total magnetic moment: 0.00 Bohr magnetons per cell
* total energy: -3.77 eV per atom
* ΔE to the lowest computed polymorph: 0 meV per atom

a = 4.0814 Å, b = 6.8698 Å, c = 6.1859 Å
α = 80.21°, β = 71.54°, γ = 73.09°
Last column: nearest neighbours and their distance in Å.
Element x y z (fractional)
1 Pb 0.0951 0.7560 0.3981  2 Sb 3.35-3.41, 5 Pb 3.38-3.53, 2 Bi 3.49-3.50
2 Pb 0.6799 0.3522 0.6332  3 Sb 3.39-3.62, 3 Bi 3.47-3.55, 4 Pb 3.53-3.65
3 Pb 0.3017 0.9152 0.8354  2 Sb 3.35-3.36, 5 Pb 3.38-3.65, 2 Bi 3.46-3.54
4 Bi 0.4853 0.1671 0.2055  2 Sb 3.25-3.26, 7 Pb 3.46-3.55
5 Sb 0.8919 0.5343 0.0331  2 Bi 3.25-3.26, 7 Pb 3.35-3.62

***

Record 3
VASP calculation (PBE) on an optimized crystal structure of Bi2Sb5Pb12.

Summary:
* formation energy (no corrections): 137 kJ/mol of formula units
* total magnetic moment: 0.00 Bohr magnetons per cell
* total energy: -3.76 eV per atom

a = 8.6978 Å, b = 9.5084 Å, c = 8.7838 Å
α = 102.44°, β = 90.00°, γ = 117.22°
Last column: nearest neighbours and their distance in Å.
Element x y z (fractional)
1 Bi 0.7952 0.0000 0.0000  6 Pb 3.23-3.37, 1 Bi 3.56
2 Bi 0.2048 0.0000 0.0000  6 Pb 3.23-3.37, 1 Bi 3.56
3 Sb 0.2212 0.4425 0.5038  8 Pb 3.21-3.51
4 Sb 0.7788 0.5575 0.4962  8 Pb 3.21-3.51
5 Sb 0.3043 0.6087 0.0921  8 Pb 3.23-3.61
6 Sb 0.0000 0.0000 0.5000  6 Pb 3.17
7 Sb 0.6957 0.3913 0.9079  8 Pb 3.23-3.61
8 Pb 0.8792 0.7584 0.1614  2 Sb 3.17-3.35, 2 Bi 3.28
9 Pb 0.4088 0.2281 0.5463  3 Sb 3.17-3.43, 2 Pb 3.51
10 Pb 0.8193 0.2281 0.5463  3 Sb 3.17-3.43, 2 Pb 3.51
11 Pb 0.5384 0.6106 0.8040  4 Sb 3.24-3.51, 1 Bi 3.37, 1 Pb 3.51
12 Pb 0.5000 0.0001 0.2225  2 Bi 3.23, 1 Sb 3.23, 4 Pb 3.51-3.60
13 Pb 0.9278 0.3894 0.1960  4 Sb 3.24-3.51, 1 Bi 3.37, 1 Pb 3.51
14 Pb 0.1208 0.2416 0.8386  2 Sb 3.17-3.35, 2 Bi 3.28
15 Pb 0.5912 0.7719 0.4537  3 Sb 3.17-3.43, 2 Pb 3.51
16 Pb 0.0722 0.6106 0.8040  4 Sb 3.24-3.51, 1 Bi 3.37, 1 Pb 3.51
17 Pb 0.5000 0.9999 0.7775  2 Bi 3.23, 1 Sb 3.23, 4 Pb 3.51-3.60
18 Pb 0.4616 0.3894 0.1960  4 Sb 3.24-3.51, 1 Bi 3.37, 1 Pb 3.51
19 Pb 0.1807 0.7719 0.4537  3 Sb 3.17-3.43, 2 Pb 3.51

***

Record 4
VASP calculation (PBE) on an optimized crystal structure of BiSb2Pb.

Summary:
* formation energy (no corrections): 59 kJ/mol of formula units
* total magnetic moment: 0.00 Bohr magnetons per cell
* total energy: -3.81 eV per atom
* ΔE to the lowest computed polymorph: 101 meV per atom

a = 5.5286 Å, b = 5.5286 Å, c = 5.5286 Å
α = 60.00°, β = 60.00°, γ = 60.00°
Last column: nearest neighbours and their distance in Å.
Element x y z (fractional)
1 Sb 0.7500 0.7500 0.7500  4 Bi 3.39, 4 Pb 3.39
2 Sb 0.2500 0.2500 0.2500  4 Bi 3.39, 4 Pb 3.39
3 Bi 0.5000 0.5000 0.5000  8 Sb 3.39
4 Pb 0.0000 0.0000 0.0000  8 Sb 3.39

***

Record 5
VASP calculation (PBE) on an optimized crystal structure of BiSb2Pb.

Summary:
* formation energy (no corrections): 25 kJ/mol of formula units
* total magnetic moment: 0.00 Bohr magnetons per cell
* total energy: -3.89 eV per atom
* ΔE to the lowest computed polymorph: 11 meV per atom

a = 5.9773 Å, b = 6.4730 Å, c = 6.7978 Å
α = 90.00°, β = 90.00°, γ = 90.00°
Last column: nearest neighbours and their distance in Å.
Element x y z (fractional)
1 Pb 0.0000 0.5000 0.9239  2 Bi 3.21-3.59, 4 Sb 3.25
2 Pb 0.5000 0.0000 0.0761  2 Bi 3.21-3.59, 4 Sb 3.25
3 Sb 0.5000 0.5000 0.1119  1 Sb 2.96, 4 Pb 3.25
4 Sb 0.0000 0.0000 0.4534  1 Sb 2.96, 4 Bi 3.16-3.26
5 Sb 0.0000 0.0000 0.8881  1 Sb 2.96, 4 Pb 3.25
6 Sb 0.5000 0.5000 0.5466  1 Sb 2.96, 4 Bi 3.16-3.26
7 Bi 0.0000 0.5000 0.3963  4 Sb 3.16-3.26, 1 Pb 3.21
8 Bi 0.5000 0.0000 0.6037  4 Sb 3.16-3.26, 1 Pb 3.21

***

Record 6
VASP calculation (PBE) on an optimized crystal structure of Bi2SbPb3.

Summary:
* formation energy (no corrections): 27 kJ/mol of formula units
* total magnetic moment: 0.00 Bohr magnetons per cell
* total energy: -3.79 eV per atom
* ΔE to the lowest computed polymorph: 0 meV per atom

a = 7.0087 Å, b = 8.6676 Å, c = 7.6134 Å
α = 101.33°, β = 117.41°, γ = 90.00°
Last column: nearest neighbours and their distance in Å.
Element x y z (fractional)
1 Pb 0.9373 0.9203 0.6812  2 Sb 3.19-3.31, 3 Bi 3.26-3.38
2 Pb 0.2561 0.5797 0.3188  2 Sb 3.19-3.31, 3 Bi 3.26-3.38
3 Pb 0.4053 0.7500 0.0000  1 Sb 3.19, 4 Bi 3.27-3.35
4 Pb 0.7439 0.4203 0.6812  2 Sb 3.19-3.31, 3 Bi 3.26-3.38
5 Pb 0.5947 0.2500 0.0000  1 Sb 3.19, 4 Bi 3.27-3.35
6 Pb 0.0627 0.0797 0.3188  2 Sb 3.19-3.31, 3 Bi 3.26-3.38
7 Bi 0.5367 0.0836 0.3363  5 Pb 3.26-3.38, 1 Bi 3.34, 1 Sb 3.36
8 Bi 0.4633 0.9164 0.6637  5 Pb 3.26-3.38, 1 Bi 3.34, 1 Sb 3.36
9 Bi 0.2004 0.4164 0.6637  5 Pb 3.26-3.38, 1 Bi 3.34, 1 Sb 3.36
10 Bi 0.7996 0.5836 0.3363  5 Pb 3.26-3.38, 1 Bi 3.34, 1 Sb 3.36
11 Sb 0.1398 0.2500 0.0000  5 Pb 3.19-3.31, 2 Bi 3.36
12 Sb 0.8602 0.7500 0.0000  5 Pb 3.19-3.31, 2 Bi 3.36

***

Record 7
VASP calculation (PBE) on an optimized crystal structure of Bi6SbPb12.

Summary:
* formation energy (no corrections): 193 kJ/mol of formula units
* total magnetic moment: 0.00 Bohr magnetons per cell
* total energy: -3.68 eV per atom
* ΔE to the lowest computed polymorph: 62 meV per atom

a = 9.1542 Å, b = 9.1542 Å, c = 9.1542 Å
α = 97.06°, β = 97.06°, γ = 97.06°
Last column: nearest neighbours and their distance in Å.
Element x y z (fractional)
1 Pb 0.1819 0.4941 0.6122  4 Bi 3.26-3.40, 3 Pb 3.52-3.62
2 Pb 0.3133 0.0517 0.8861  1 Sb 3.17, 3 Bi 3.28-3.36, 1 Pb 3.52
3 Pb 0.3878 0.8181 0.5059  4 Bi 3.26-3.40, 3 Pb 3.52-3.62
4 Pb 0.9483 0.1139 0.6867  1 Sb 3.17, 3 Bi 3.28-3.36, 1 Pb 3.52
5 Pb 0.6122 0.1819 0.4941  4 Bi 3.26-3.40, 3 Pb 3.52-3.62
6 Pb 0.1139 0.6867 0.9483  1 Sb 3.17, 3 Bi 3.28-3.36, 1 Pb 3.52
7 Pb 0.5059 0.3878 0.8181  4 Bi 3.26-3.40, 3 Pb 3.52-3.62
8 Pb 0.8181 0.5059 0.3878  4 Bi 3.26-3.40, 3 Pb 3.52-3.62
9 Pb 0.8861 0.3133 0.0517  1 Sb 3.17, 3 Bi 3.28-3.36, 1 Pb 3.52
10 Pb 0.4941 0.6122 0.1819  4 Bi 3.26-3.40, 3 Pb 3.52-3.62
11 Pb 0.6867 0.9483 0.1139  1 Sb 3.17, 3 Bi 3.28-3.36, 1 Pb 3.52
12 Pb 0.0517 0.8861 0.3133  1 Sb 3.17, 3 Bi 3.28-3.36, 1 Pb 3.52
13 Bi 0.7329 0.8444 0.4446  7 Pb 3.26-3.40
14 Bi 0.4446 0.7329 0.8444  7 Pb 3.26-3.40
15 Bi 0.1556 0.5554 0.2671  7 Pb 3.26-3.40
16 Bi 0.8444 0.4446 0.7329  7 Pb 3.26-3.40
17 Bi 0.2671 0.1556 0.5554  7 Pb 3.26-3.40
18 Bi 0.5554 0.2671 0.1556  7 Pb 3.26-3.40
19 Sb 0.0000 0.0000 0.0000  6 Pb 3.17

***

Record 8
VASP calculation (PBE) on an optimized crystal structure of Bi3Sb5Pb12.

Summary:
* formation energy (no corrections): 265 kJ/mol of formula units
* total magnetic moment: 0.00 Bohr magnetons per cell
* total energy: -3.70 eV per atom

a = 16.0570 Å, b = 16.0570 Å, c = 16.0570 Å
α = 109.47°, β = 109.47°, γ = 109.47°
Last column: nearest neighbours and their distance in Å.
Element x y z (fractional)
1 Pb 0.5836 0.9407 0.6649  2 Sb 3.06-3.14, 2 Bi 3.35-3.38
2 Pb 0.6429 0.0593 0.2242  2 Sb 3.06-3.14, 2 Bi 3.35-3.38
3 Pb 0.3571 0.4164 0.0813  2 Sb 3.06-3.14, 2 Bi 3.35-3.38
4 Pb 0.3351 0.5593 0.4164  2 Sb 3.06-3.14, 2 Bi 3.35-3.38
5 Pb 0.8571 0.2758 0.4407  2 Sb 3.06-3.14, 2 Bi 3.35-3.38
6 Pb 0.2242 0.5593 0.6429  2 Sb 3.06-3.14, 2 Bi 3.35-3.38
7 Pb 0.8571 0.5813 0.9164  2 Sb 3.06-3.14, 2 Bi 3.35-3.38
8 Pb 0.3571 0.9407 0.7758  2 Sb 3.06-3.14, 2 Bi 3.35-3.38
9 Pb 0.2242 0.6649 0.0813  2 Sb 3.06-3.14, 2 Bi 3.35-3.38
10 Pb 0.7242 0.1429 0.0593  2 Sb 3.06-3.14, 2 Bi 3.35-3.38
11 Pb 0.1429 0.4187 0.0836  2 Sb 3.06-3.14, 2 Bi 3.35-3.38
12 Pb 0.7758 0.3351 0.9187  2 Sb 3.06-3.14, 2 Bi 3.35-3.38
13 Pb 0.0836 0.9187 0.1429  2 Sb 3.06-3.14, 2 Bi 3.35-3.38
14 Pb 0.0593 0.4164 0.8351  2 Sb 3.06-3.14, 2 Bi 3.35-3.38
15 Pb 0.4407 0.7758 0.8571  2 Sb 3.06-3.14, 2 Bi 3.35-3.38
16 Pb 0.8351 0.9164 0.0593  2 Sb 3.06-3.14, 2 Bi 3.35-3.38
17 Pb 0.4407 0.6649 0.0836  2 Sb 3.06-3.14, 2 Bi 3.35-3.38
18 Pb 0.4164 0.3571 0.5813  2 Sb 3.06-3.14, 2 Bi 3.35-3.38
19 Pb 0.5813 0.8571 0.4164  2 Sb 3.06-3.14, 2 Bi 3.35-3.38
20 Pb 0.4164 0.0593 0.3351  2 Sb 3.06-3.14, 2 Bi 3.35-3.38
21 Pb 0.1649 0.0813 0.7242  2 Sb 3.06-3.14, 2 Bi 3.35-3.38
22 Pb 0.4187 0.2758 0.3351  2 Sb 3.06-3.14, 2 Bi 3.35-3.38
23 Pb 0.9164 0.0813 0.8571  2 Sb 3.06-3.14, 2 Bi 3.35-3.38
24 Pb 0.8351 0.9187 0.2758  2 Sb 3.06-3.14, 2 Bi 3.35-3.38
25 Pb 0.5593 0.3351 0.9164  2 Sb 3.06-3.14, 2 Bi 3.35-3.38
26 Pb 0.5813 0.7242 0.6649  2 Sb 3.06-3.14, 2 Bi 3.35-3.38
27 Pb 0.0593 0.6429 0.7242  2 Sb 3.06-3.14, 2 Bi 3.35-3.38
28 Pb 0.0836 0.1649 0.4407  2 Sb 3.06-3.14, 2 Bi 3.35-3.38
29 Pb 0.6649 0.4407 0.5836  2 Sb 3.06-3.14, 2 Bi 3.35-3.38
30 Pb 0.2758 0.8571 0.9407  2 Sb 3.06-3.14, 2 Bi 3.35-3.38
31 Pb 0.1429 0.7242 0.5593  2 Sb 3.06-3.14, 2 Bi 3.35-3.38
32 Pb 0.5593 0.2242 0.1429  2 Sb 3.06-3.14, 2 Bi 3.35-3.38
33 Pb 0.6649 0.2242 0.5813  2 Sb 3.06-3.14, 2 Bi 3.35-3.38
34 Pb 0.7758 0.4407 0.3571  2 Sb 3.06-3.14, 2 Bi 3.35-3.38
35 Pb 0.3351 0.7758 0.4187  2 Sb 3.06-3.14, 2 Bi 3.35-3.38
36 Pb 0.0813 0.1649 0.2242  2 Sb 3.06-3.14, 2 Bi 3.35-3.38
37 Pb 0.4187 0.1429 0.5836  2 Sb 3.06-3.14, 2 Bi 3.35-3.38
38 Pb 0.2758 0.4187 0.8351  2 Sb 3.06-3.14, 2 Bi 3.35-3.38
39 Pb 0.6429 0.5836 0.9187  2 Sb 3.06-3.14, 2 Bi 3.35-3.38
40 Pb 0.9164 0.8351 0.5593  2 Sb 3.06-3.14, 2 Bi 3.35-3.38
41 Pb 0.9187 0.8351 0.7758  2 Sb 3.06-3.14, 2 Bi 3.35-3.38
42 Pb 0.1649 0.0836 0.9407  2 Sb 3.06-3.14, 2 Bi 3.35-3.38
43 Pb 0.9407 0.5836 0.1649  2 Sb 3.06-3.14, 2 Bi 3.35-3.38
44 Pb 0.9407 0.3571 0.2758  2 Sb 3.06-3.14, 2 Bi 3.35-3.38
45 Pb 0.5836 0.6429 0.4187  2 Sb 3.06-3.14, 2 Bi 3.35-3.38
46 Pb 0.0813 0.9164 0.3571  2 Sb 3.06-3.14, 2 Bi 3.35-3.38
47 Pb 0.9187 0.0836 0.6429  2 Sb 3.06-3.14, 2 Bi 3.35-3.38
48 Pb 0.7242 0.5813 0.1649  2 Sb 3.06-3.14, 2 Bi 3.35-3.38
49 Sb 0.5000 0.0000 0.0000  6 Pb 3.14
50 Sb 0.0000 0.0000 0.0000  6 Pb 3.14
51 Sb 0.0000 0.5000 0.5000  6 Pb 3.14
52 Sb 0.0000 0.5000 0.0000  6 Pb 3.14
53 Sb 0.8750 0.6250 0.7500  4 Pb 3.06
54 Sb 0.1250 0.3750 0.2500  4 Pb 3.06
55 Sb 0.1250 0.7500 0.3750  4 Pb 3.06
56 Sb 0.8750 0.2500 0.6250  4 Pb 3.06
57 Sb 0.3750 0.2500 0.1250  4 Pb 3.06
58 Sb 0.5000 0.5000 0.0000  6 Pb 3.14
59 Sb 0.2500 0.8750 0.1250  4 Pb 3.06
60 Sb 0.6250 0.8750 0.2500  4 Pb 3.06
61 Sb 0.3750 0.1250 0.7500  4 Pb 3.06
62 Sb 0.0000 0.0000 0.5000  6 Pb 3.14
63 Sb 0.6250 0.7500 0.8750  4 Pb 3.06
64 Sb 0.2500 0.3750 0.6250  4 Pb 3.06
65 Sb 0.5000 0.5000 0.5000  6 Pb 3.14
66 Sb 0.5000 0.0000 0.5000  6 Pb 3.14
67 Sb 0.7500 0.6250 0.3750  4 Pb 3.06
68 Sb 0.7500 0.1250 0.8750  4 Pb 3.06
69 Bi 0.2500 0.1250 0.3750  8 Pb 3.35-3.38
70 Bi 0.8750 0.1250 0.2500  8 Pb 3.35-3.38
71 Bi 0.8750 0.7500 0.1250  8 Pb 3.35-3.38
72 Bi 0.7500 0.8750 0.6250  8 Pb 3.35-3.38
73 Bi 0.3750 0.7500 0.6250  8 Pb 3.35-3.38
74 Bi 0.3750 0.6250 0.2500  8 Pb 3.35-3.38
75 Bi 0.1250 0.8750 0.7500  8 Pb 3.35-3.38
76 Bi 0.1250 0.2500 0.8750  8 Pb 3.35-3.38
77 Bi 0.6250 0.3750 0.7500  8 Pb 3.35-3.38
78 Bi 0.7500 0.3750 0.1250  8 Pb 3.35-3.38
79 Bi 0.2500 0.6250 0.8750  8 Pb 3.35-3.38
80 Bi 0.6250 0.2500 0.3750  8 Pb 3.35-3.38

***

Record 9
VASP calculation (PBE) on an optimized crystal structure of Bi4SbPb5.

Summary:
* formation energy (no corrections): 77 kJ/mol of formula units
* total magnetic moment: 0.00 Bohr magnetons per cell
* total energy: -3.74 eV per atom

a = 4.4621 Å, b = 7.8982 Å, c = 11.7318 Å
α = 120.38°, β = 100.96°, γ = 90.00°
Last column: nearest neighbours and their distance in Å.
Element x y z (fractional)
1 Sb 0.5000 0.0000 0.0000  6 Bi 3.17-3.18
2 Pb 0.8069 0.2095 0.6139  4 Bi 3.28-3.48, 2 Pb 3.64
3 Pb 0.1931 0.7904 0.3861  4 Bi 3.28-3.48, 2 Pb 3.64
4 Pb 0.7973 0.6925 0.5946  3 Bi 3.24-3.25, 2 Pb 3.49
5 Pb 0.2027 0.3075 0.4054  3 Bi 3.24-3.25, 2 Pb 3.49
6 Pb 0.5000 0.5000 0.0000  6 Bi 3.33-3.34
7 Bi 0.3689 0.0371 0.7379  1 Sb 3.18, 6 Pb 3.24-3.48
8 Bi 0.6310 0.9629 0.2621  1 Sb 3.18, 6 Pb 3.24-3.48
9 Bi 0.0664 0.3323 0.1327  2 Sb 3.17, 4 Pb 3.25-3.34
10 Bi 0.9336 0.6677 0.8673  2 Sb 3.17, 4 Pb 3.25-3.34

***

Record 10
VASP calculation (PBE) on an optimized crystal structure of BiSbPb2.

Summary:
* formation energy (no corrections): 85 kJ/mol of formula units
* total magnetic moment: 0.00 Bohr magnetons per cell
* total energy: -3.64 eV per atom
* ΔE to the lowest computed polymorph: 159 meV per atom

a = 7.1828 Å, b = 7.1828 Å, c = 8.6848 Å
α = 65.57°, β = 65.57°, γ = 90.00°
Last column: nearest neighbours and their distance in Å.
Element x y z (fractional)
1 Pb 0.3750 0.3835 0.7500  2 Sb 3.06, 2 Bi 3.13
2 Pb 0.8750 0.8665 0.7500  2 Sb 3.06, 2 Bi 3.13
3 Pb 0.6165 0.1250 0.2500  2 Sb 3.06, 2 Bi 3.13
4 Pb 0.1335 0.6250 0.2500  2 Sb 3.06, 2 Bi 3.13
5 Sb 0.2500 0.7500 0.5000  4 Pb 3.06
6 Sb 0.5000 0.5000 0.0000  4 Pb 3.06
7 Bi 0.7500 0.2500 0.5000  4 Pb 3.13
8 Bi 0.0000 0.0000 0.0000  4 Pb 3.13

***

> Which of these has the lowest formation energy (no corrections)?

Tm4BiPbS2